4
Lattice="0.000 3.916 3.916 3.916 0.000 3.916 3.916 3.916 0.000" Properties=species:S:1:pos:R:3 comment="Ba2ZrP (GGA-PBE, relaxed)" total_energy_ev_per_atom=-4.068 sg="F-43m, No. 216" pbc="T T T"
Ba 5.874 5.874 5.874
Ba 0.000 0.000 0.000
P 3.916 3.916 3.916
Zr 1.958 1.958 1.958


4
Lattice="-2.667 5.017 -0.918 -5.558 0.073 -1.494 -3.958 1.880 3.731" Properties=species:S:1:pos:R:3 comment="TbCePmNd (GGA-PBE, relaxed)" total_energy_ev_per_atom=-4.821 sg="F-43m, No. 216" pbc="T T T"
Pm -9.138 5.227 0.990
Tb 0.000 0.000 0.000
Nd -3.046 1.742 0.330
Ce -6.092 3.485 0.660


6
Lattice="-2.398 4.715 1.325 0.355 -1.503 -5.230 -4.628 -2.464 0.394" Properties=species:S:1:pos:R:3 comment="Hg5Mo (GGA-PBE, relaxed)" total_energy_ev_per_atom=-1.544 sg="P-62m, No. 189" e_above_lowest_polymorph_mev_per_atom=145 pbc="T T T"
Hg -2.876 -0.662 -2.848
Hg -0.665 1.046 -1.271
Mo -2.314 -1.232 0.197
Hg -1.617 3.180 0.894
Hg 0.240 -1.013 -3.527
Hg -3.794 1.410 -0.663


4
Lattice="-0.312 1.235 2.601 1.701 -2.031 1.169 6.612 4.706 -1.443" Properties=species:S:1:pos:R:3 comment="TlRuW2 (GGA-PBE, relaxed)" total_energy_ev_per_atom=-8.899 sg="P4mm, No. 99" e_above_lowest_polymorph_mev_per_atom=0 pbc="T T T"
Tl 5.561 3.066 0.823
W 2.470 0.866 1.497
W 0.156 0.111 -0.034
Ru 3.119 2.220 -0.681


20
Lattice="-4.236 -2.242 5.049 6.902 -0.404 0.812 0.069 11.989 5.380" Properties=species:S:1:pos:R:3 comment="KCdAg3 (GGA-PBE, relaxed)" total_energy_ev_per_atom=-1.989 sg="P6_3/mmc, No. 194" e_above_lowest_polymorph_mev_per_atom=105 pbc="T T T"
Ag 1.368 4.671 5.621
Ag 2.925 6.990 8.458
Cd 3.249 9.271 6.841
Ag 1.314 8.589 4.915
Ag 3.486 5.792 3.096
Ag 5.485 8.345 5.406
Ag 1.333 -1.323 2.931
K 3.207 1.980 3.570
Ag -2.750 0.998 5.836
Ag -2.083 4.873 5.215
Cd -0.498 2.664 5.564
K 0.000 0.000 0.000
Ag -2.118 -1.121 2.525
Ag -0.190 2.353 2.784
K 0.035 5.994 2.690
Ag 3.451 -0.202 0.406
K -0.471 7.362 7.672
Cd -0.513 0.072 4.400
Cd 3.234 6.679 5.678
Ag 1.422 0.754 6.326


3
Lattice="-2.460 2.817 -2.913 -1.438 -3.793 -2.453 -1.162 0.169 5.001" Properties=species:S:1:pos:R:3 comment="CeErN (GGA-PBE, relaxed)" total_energy_ev_per_atom=-6.108 sg="I4mm, No. 107" e_form_raw_mev_per_atom=166 e_above_lowest_polymorph_mev_per_atom=1134 pbc="T T T"
Er -4.297 -0.729 -0.933
N -2.659 -0.561 -2.154
Ce -2.230 -0.229 1.662


9
Lattice="-4.606 0.162 0.504 2.919 -1.599 5.861 0.087 6.632 -1.344" Properties=species:S:1:pos:R:3 comment="Pa2Ti2S5 (GGA-PBE, relaxed)" total_energy_ev_per_atom=-7.541 sg="C2/m, No. 12" e_form_raw_mev_per_atom=-1383 pbc="T T T"
S 0.234 3.070 1.146
S -1.834 2.126 3.875
S 0.475 -0.233 4.410
Ti 0.292 5.497 0.893
Pa -2.145 1.521 1.229
Pa 0.545 3.675 3.792
Ti -1.892 -0.301 4.129
S 0.000 0.000 0.000
S -2.075 5.428 0.611


5
Lattice="-3.421 -1.729 2.966 3.111 -3.333 1.645 1.453 3.065 3.462" Properties=species:S:1:pos:R:3 comment="LiSiGe3 (GGA-PBE, relaxed)" total_energy_ev_per_atom=-3.759 sg="Pm-3m, No. 221" e_form_raw_mev_per_atom=478 e_above_lowest_polymorph_mev_per_atom=0 pbc="T T T"
Li 0.571 -0.999 4.037
Ge 0.726 1.532 1.731
Si 0.000 0.000 0.000
Ge 1.555 -1.666 0.822
Ge -1.710 -0.864 1.483


12
Lattice="-1.817 -5.299 2.900 5.939 2.042 0.593 -4.446 7.294 8.260" Properties=species:S:1:pos:R:3 comment="Pr6Dy2YHo3 (GGA-PBE, relaxed)" total_energy_ev_per_atom=-4.829 sg="C2/m, No. 12" pbc="T T T"
Ho -0.162 2.019 5.876
Pr 1.052 4.252 8.419
Ho 2.423 4.465 5.107
Ho -2.747 -0.428 6.645
Pr -2.299 4.649 7.060
Y 0.000 0.000 0.000
Pr -1.376 -0.215 3.333
Pr 1.215 2.238 2.562
Dy 0.768 -2.852 2.131
Dy 3.353 -0.405 1.362
Pr -1.539 1.799 9.190
Pr 1.975 -0.612 4.692


12
Lattice="-5.367 3.747 -0.385 2.122 -3.244 -5.288 -2.422 -5.028 3.470" Properties=species:S:1:pos:R:3 comment="LiMn2Se3 (GGA-PBE, relaxed)" total_energy_ev_per_atom=-5.755 sg="C2/m, No. 12" e_form_raw_mev_per_atom=-637 e_above_lowest_polymorph_mev_per_atom=0 pbc="T T T"
Li -0.301 -8.271 -1.817
Se -2.970 -4.560 -2.419
Se -5.510 -2.149 -0.858
Mn -0.353 -4.578 -2.726
Li -5.291 -3.612 1.451
Se -3.027 -0.959 -3.364
Mn -0.374 -0.914 -3.654
Mn -2.818 -2.277 -1.111
Se -0.200 -2.295 -1.418
Se -2.578 -3.623 1.121
Mn -5.329 0.068 0.533
Se -2.714 0.012 0.330


4
Lattice="3.655 0.000 0.000 0.000 3.655 0.000 0.000 0.000 9.177" Properties=species:S:1:pos:R:3 comment="LaNd2Ga (GGA-PBE, relaxed)" total_energy_ev_per_atom=-4.627 sg="P4/mmm, No. 123" e_above_lowest_polymorph_mev_per_atom=0 pbc="T T T"
Nd 0.000 0.000 7.279
La 1.827 1.827 4.589
Nd 0.000 0.000 1.899
Ga 1.827 1.827 0.000


4
Lattice="-2.532 0.363 -0.848 -0.127 -2.535 0.905 -2.947 3.882 10.462" Properties=species:S:1:pos:R:3 comment="K2TcRu (GGA-PBE, relaxed)" total_energy_ev_per_atom=-4.125 sg="Cmmm, No. 65" e_above_lowest_polymorph_mev_per_atom=607 pbc="T T T"
K -1.459 1.922 5.181
Tc -3.539 1.825 7.875
K -0.014 0.018 0.050
Ru -2.066 -0.116 2.644


12
Lattice="5.654 0.000 0.000 0.000 7.021 0.000 0.000 0.000 9.805" Properties=species:S:1:pos:R:3 comment="Tb2Nd2HoEr (GGA-PBE, relaxed)" total_energy_ev_per_atom=-4.592 sg="Pmma, No. 51" pbc="T T T"
Tb 0.000 5.319 1.602
Tb 2.827 1.809 3.257
Er 0.000 0.054 4.903
Ho 2.827 1.809 6.461
Nd 2.827 0.053 9.804
Nd 2.827 3.563 0.000
Tb 2.827 5.319 6.548
Nd 0.000 1.808 1.739
Ho 2.827 5.319 3.344
Nd 0.000 5.318 8.066
Tb 0.000 1.808 8.203
Er 0.000 3.564 4.902


10
Lattice="6.419 0.045 0.013 0.035 7.083 -0.382 3.243 3.293 4.490" Properties=species:S:1:pos:R:3 comment="Ce2BeAlAu6 (GGA-PBE, relaxed)" total_energy_ev_per_atom=-4.352 sg="P-1, No. 2" pbc="T T T"
Be 0.000 0.000 0.000
Au 6.524 7.605 1.860
Ce 6.426 3.841 1.828
Al 3.227 3.564 -0.184
Au 8.029 8.852 4.124
Au 3.173 2.816 2.262
Au 4.639 1.456 0.099
Au 1.668 1.568 -0.002
Ce 3.271 6.580 2.294
Au 5.058 8.965 4.023


8
Lattice="4.016 0.000 0.000 0.000 7.101 -0.189 0.000 2.453 6.621" Properties=species:S:1:pos:R:3 comment="Tb2HoErSe4 (GGA-PBE, relaxed)" total_energy_ev_per_atom=-5.781 sg="P2/m, No. 10" e_form_raw_mev_per_atom=-1739 pbc="T T T"
Se 2.008 3.646 4.900
Tb 0.000 2.453 6.621
Se 2.008 5.908 1.532
Er 0.000 4.777 3.216
Se 4.016 2.419 1.602
Ho 2.008 3.551 -0.095
Se 0.000 7.135 4.829
Tb 2.008 1.227 3.311


18
Lattice="-0.229 -1.736 7.285 5.451 -3.928 3.316 4.670 3.106 4.968" Properties=species:S:1:pos:R:3 comment="Rb2ZrIr3O12 (GGA-PBE, relaxed)" total_energy_ev_per_atom=-6.623 sg="R-3m, No. 166" e_form_raw_mev_per_atom=-1259 pbc="T T T"
Ir -0.115 -0.868 3.643
O 0.541 -1.210 5.409
O 2.985 -1.859 9.326
O 5.951 1.072 7.924
O 3.461 1.676 4.027
O 6.423 -3.185 6.924
Ir 2.335 1.553 2.484
O 6.906 -0.699 6.243
Rb 3.788 -0.979 5.962
O 3.941 -3.630 7.645
O 6.431 -4.234 11.542
O 5.965 -0.041 12.526
O 3.926 -2.517 3.043
Zr 0.000 0.000 0.000
O 3.469 0.627 8.645
Rb 6.104 -1.578 9.608
Ir 2.725 -1.964 1.658
O 9.351 -1.348 10.161


6
Lattice="-2.455 1.141 -0.841 -1.277 -2.510 0.322 -2.380 2.544 10.405" Properties=species:S:1:pos:R:3 comment="AlVPd4 (GGA-PBE, relaxed)" total_energy_ev_per_atom=-6.090 sg="P4/mmm, No. 123" e_above_lowest_polymorph_mev_per_atom=0 pbc="T T T"
Al -3.056 0.587 4.943
Pd -1.544 1.650 6.750
Pd -2.247 -0.277 1.407
Pd -0.836 0.894 3.655
V 0.000 0.000 0.000
Pd -3.865 1.452 8.479


8
Lattice="0.190 -1.108 -4.515 -1.821 -4.176 0.944 -7.932 6.177 0.550" Properties=species:S:1:pos:R:3 comment="Ce4AlIn3 (GGA-PBE, relaxed)" total_energy_ev_per_atom=-4.801 sg="I4/mmm, No. 139" pbc="T T T"
Ce -2.121 0.857 -0.299
Ce -7.442 0.036 -2.721
Ce -2.937 -1.785 -2.085
Ce -6.626 2.678 -0.936
In -0.911 -2.088 0.472
In -5.285 -0.320 -0.146
In -4.278 1.214 -2.875
Al 0.095 -0.554 -2.257


15
Lattice="8.472 0.000 0.000 -4.236 7.337 -0.027 0.000 -4.864 7.538" Properties=species:S:1:pos:R:3 comment="K3Ac3ReS8 (GGA-PBE, relaxed)" total_energy_ev_per_atom=-5.529 sg="R-3m, No. 166" e_form_raw_mev_per_atom=-1456 pbc="T T T"
S 2.440 3.873 5.166
S -2.440 3.873 5.165
Ac 2.118 1.236 3.755
S 6.676 -1.401 2.345
S 1.796 -1.400 2.345
K 2.118 3.668 -0.014
Ac -2.118 1.237 3.755
K -2.118 3.668 -0.014
S 4.236 2.825 2.329
S 0.000 -0.352 5.181
K 0.000 0.000 0.000
S 4.236 0.020 5.411
Re 0.000 -2.432 3.769
S 0.000 2.453 2.100
Ac 4.236 -2.432 3.769


5
Lattice="5.364 0.000 0.000 0.000 5.364 0.000 0.000 0.000 5.042" Properties=species:S:1:pos:R:3 comment="P2PbSI (GGA-PBE, relaxed)" total_energy_ev_per_atom=-2.889 sg="P4/mmm, No. 123" e_form_raw_mev_per_atom=1152 e_above_lowest_polymorph_mev_per_atom=0 pbc="T T T"
S 0.000 0.000 2.521
I 2.682 2.682 2.521
Pb 0.000 0.000 0.000
P 0.000 2.682 0.000
P 2.682 0.000 0.000


4
Lattice="-1.670 -2.308 -3.657 4.331 -0.755 -1.501 2.592 -8.606 4.248" Properties=species:S:1:pos:R:3 comment="KSr2Tl (GGA-PBE, relaxed)" total_energy_ev_per_atom=-1.783 sg="Pm, No. 6" pbc="T T T"
K 3.565 -7.747 0.323
Sr 1.180 -4.135 -0.867
Tl 4.207 -4.117 0.677
Sr 4.092 -1.107 -1.170


4
Lattice="-1.786 1.989 1.896 -2.446 -1.181 -1.833 -1.070 -6.023 5.310" Properties=species:S:1:pos:R:3 comment="Cd2AgCl (GGA-PBE, relaxed)" total_energy_ev_per_atom=-1.843 sg="Cmmm, No. 65" e_form_raw_mev_per_atom=-211 e_above_lowest_polymorph_mev_per_atom=52 pbc="T T T"
Cd -1.056 -5.945 5.240
Ag -2.919 -4.114 4.014
Cd -0.549 -3.090 2.724
Cl -2.384 -1.102 1.359


5
Lattice="-1.506 3.865 -2.645 -0.223 -2.834 -4.015 -4.678 -1.109 1.042" Properties=species:S:1:pos:R:3 comment="ZrPd3I (GGA-PBE, relaxed)" total_energy_ev_per_atom=-4.449 sg="Pm-3m, No. 221" e_form_raw_mev_per_atom=686 e_above_lowest_polymorph_mev_per_atom=73 pbc="T T T"
Pd -2.339 -0.555 0.521
I 0.000 0.000 0.000
Pd -0.111 -1.417 -2.007
Pd -0.753 1.933 -1.322
Zr -3.203 -0.039 -2.809


9
Lattice="4.591 0.000 0.000 0.000 7.569 0.000 0.000 -3.784 6.555" Properties=species:S:1:pos:R:3 comment="PmZrAl (GGA-PBE, relaxed)" total_energy_ev_per_atom=-5.870 sg="P-62m, No. 189" e_above_lowest_polymorph_mev_per_atom=0 pbc="T T T"
Al 2.296 3.784 2.185
Al 2.296 0.000 4.370
Pm 0.000 2.188 3.789
Pm 0.000 3.193 0.000
Zr 2.296 5.806 0.000
Zr 2.296 -2.903 5.028
Pm 0.000 -1.597 2.765
Al 0.000 0.000 0.000
Zr 2.296 0.882 1.527